1.
A crystal of MgGe2TeRu relaxed with PBEsol, computed with meta-GGA SCAN.

Uncorrected formation energy in eV per atom: 1.2937
D(E_F) in states/eV/atom: 0.768
Size of the total moment in Bohr magnetons per cell: 1.94
E in eV/atom: -21.752
SG: P4/mmm, No. 123

Lattice parameters (Å, degrees): 4.7317 4.7317 5.2852 90.00 90.00 90.00
Fractional positions:
Ru 0.5000 0.5000 0.5000
Ge 0.0000 0.5000 0.0000
Ge 0.5000 0.0000 0.0000
Te 0.0000 0.0000 0.5000
Mg 0.0000 0.0000 0.0000



2.
A crystal of Hf5GaSn3 relaxed with PBEsol, computed with meta-GGA SCAN.

D(E_F) in states/eV/atom: 0.582
Size of the total moment in Bohr magnetons per cell: 0.00
Calculated formation energy in meV/atom: -570
E in eV/atom: -49.178
SG: P6_3/mcm, No. 193

Lattice parameters (Å, degrees): 5.7461 8.5267 8.5267 120.00 90.00 90.00
Fractional positions:
Hf 0.7500 0.2673 0.2673
Hf 0.7500 0.0000 0.7327
Hf 0.7500 0.7327 0.0000
Hf 0.2500 0.7327 0.7327
Hf 0.2500 0.0000 0.2673
Hf 0.2500 0.2673 0.0000
Hf 0.5000 0.6667 0.3333
Hf 0.5000 0.3333 0.6667
Hf 0.0000 0.3333 0.6667
Hf 0.0000 0.6667 0.3333
Ga 0.5000 0.0000 0.0000
Ga 0.0000 0.0000 0.0000
Sn 0.7500 0.6114 0.6114
Sn 0.7500 0.0000 0.3886
Sn 0.7500 0.3886 0.0000
Sn 0.2500 0.3886 0.3886
Sn 0.2500 0.0000 0.6114
Sn 0.2500 0.6114 0.0000



3.
A crystal of Cr3PdCl relaxed with PBEsol, computed with meta-GGA SCAN.

Uncorrected formation energy in eV per atom: 0.7025
D(E_F) in states/eV/atom: 0.791
Size of the total moment in Bohr magnetons per cell: 14.36
E in eV/atom: -18.479
SG: Pm-3m, No. 221

Lattice parameters (Å, degrees): 4.8671 4.8671 4.8671 90.00 90.00 90.00
Fractional positions:
Cr 0.0000 0.5000 0.0000
Cr 0.0000 0.0000 0.5000
Cr 0.5000 0.0000 0.0000
Pd 0.0000 0.0000 0.0000
Cl 0.5000 0.5000 0.5000